Compound: CsAcBiO4
Source: Alexandria
Functional: PBE
Structure: optimized geometry

- Energy: -5.99 eV per atom
- Symmetry: C2/m, No. 12

a = 7.665 Å, b = 7.665 Å, c = 6.580 Å
α = 93.36°, β = 93.36°, γ = 50.28°
Fractional coordinates of all 14 atoms:
Ac (0.728, 0.728, 0.191)
Ac (0.272, 0.272, 0.809)
O (0.443, 0.443, 0.655)
O (0.405, 0.891, 0.899)
O (0.891, 0.405, 0.899)
O (0.557, 0.557, 0.345)
O (0.754, 0.754, 0.565)
O (0.109, 0.595, 0.101)
O (0.595, 0.109, 0.101)
O (0.246, 0.246, 0.435)
Bi (0.388, 0.388, 0.319)
Bi (0.612, 0.612, 0.681)
Cs (0.057, 0.057, 0.244)
Cs (0.943, 0.943, 0.756)